1.
The following is a DFT calculation (PBE) of a relaxed Ac7MgSn3 crystal.

The structure in POSCAR format:
```
Ac7MgSn3
1.0
6.114 -6.318 0.000
6.114 6.318 0.000
-3.351 0.000 5.462
Ac Mg Sn
7 1 3
direct
0.000 0.000 0.000
0.103 0.553 0.328
0.332 0.332 0.832
0.447 0.897 0.672
0.553 0.103 0.328
0.668 0.668 0.168
0.897 0.447 0.672
0.000 0.000 0.500
0.266 0.734 0.000
0.500 0.500 0.500
0.734 0.266 0.000
```

Output
As for the space group: No. 12. The calculation puts the formation enthalpy at 0 K at -271 meV/atom. As for the total energy: -0.30297 Ry/atom. As for the density of states at the Fermi level: 10.4 states/eV/cell. The total moment comes out at 0.0 μB per formula unit.

2.
The following is a DFT calculation (PBE) of a relaxed La2Tb3CeSm6 crystal.

The structure in POSCAR format:
```
La2Tb3CeSm6
1.0
3.138 -5.441 0.000
3.138 5.441 0.000
-2.109 0.000 11.831
La Tb Ce Sm
2 3 1 6
direct
0.166 0.834 0.000
0.834 0.166 0.000
0.000 0.000 0.500
0.333 0.667 0.500
0.667 0.333 0.500
0.500 0.500 0.000
0.086 0.416 0.747
0.254 0.254 0.253
0.416 0.086 0.747
0.584 0.914 0.253
0.746 0.746 0.747
0.914 0.584 0.253
```

Output
As for the space group: No. 12. The calculation puts the formation enthalpy at 0 K at 41 meV/atom. As for the total energy: -0.35222 Ry/atom. As for the density of states at the Fermi level: 23.2 states/eV/cell. The total moment comes out at 1.1 μB per formula unit.

3.
The following is a DFT calculation (PBE) of a relaxed HoSc2Ir crystal.

The structure in POSCAR format:
```
HoSc2Ir
1.0
7.067 0.000 0.000
0.000 8.669 0.000
0.000 0.000 6.027
Ho Sc Ir
4 8 4
direct
0.030 0.250 0.121
0.470 0.750 0.621
0.530 0.250 0.379
0.970 0.750 0.879
0.174 0.061 0.663
0.174 0.439 0.663
0.326 0.561 0.163
0.326 0.939 0.163
0.674 0.061 0.837
0.674 0.439 0.837
0.826 0.561 0.337
0.826 0.939 0.337
0.117 0.750 0.434
0.383 0.250 0.934
0.617 0.750 0.066
0.883 0.250 0.566
```

Output
As for the space group: No. 62. The calculation puts the formation enthalpy at 0 K at -599 meV/atom. As for the total energy: -0.52361 Ry/atom. As for the density of states at the Fermi level: 19.6 states/eV/cell. The total moment comes out at 0.0 μB per formula unit. The excess energy over the best structure of this formula in the dataset is 0 meV/atom.

4.
The following is a DFT calculation (PBE) of a relaxed Ce2BRh6Pb crystal.

The structure in POSCAR format:
```
Ce2BRh6Pb
1.0
5.703 0.000 0.000
0.000 8.534 0.000
0.000 0.000 7.785
Ce B Rh Pb
4 2 12 2
direct
0.250 0.004 0.236
0.250 0.496 0.236
0.750 0.504 0.764
0.750 0.996 0.764
0.250 0.250 0.837
0.750 0.750 0.163
0.001 0.750 0.358
0.005 0.750 0.973
0.250 0.009 0.862
0.250 0.491 0.862
0.495 0.750 0.973
0.499 0.750 0.358
0.501 0.250 0.642
0.505 0.250 0.027
0.750 0.509 0.138
0.750 0.991 0.138
0.995 0.250 0.027
0.999 0.250 0.642
0.250 0.750 0.652
0.750 0.250 0.348
```

Output
As for the space group: No. 59. The calculation puts the formation enthalpy at 0 K at -527 meV/atom. As for the total energy: -0.52651 Ry/atom. As for the density of states at the Fermi level: 13.6 states/eV/cell. The total moment comes out at 0.0 μB per formula unit.

5.
The following is a DFT calculation (PBE) of a relaxed Ba2SbRh crystal.

The structure in POSCAR format:
```
Ba2SbRh
1.0
-5.855 5.855 2.557
5.855 -5.855 2.557
5.855 5.855 -2.557
Ba Sb Rh
4 2 2
direct
0.375 0.054 0.179
0.804 0.625 0.679
0.875 0.196 0.821
0.946 0.125 0.321
0.250 0.750 0.500
0.500 0.500 0.000
0.000 0.000 0.000
0.750 0.250 0.500
```

Output
As for the space group: No. 122. As for the total energy: -0.31687 Ry/atom. Its formation energy from raw total energies is -0.48 eV per atom. As for the density of states at the Fermi level: 5.9 states/eV/cell. The total moment comes out at 0.0 μB per formula unit.

6.
The following is a DFT calculation (PBE) of a relaxed Y2TmAlO crystal.

The structure in POSCAR format:
```
Y2TmAlO
1.0
4.764 0.000 0.000
0.000 4.764 0.000
0.000 0.000 4.610
Y Tm Al O
2 1 1 1
direct
0.000 0.500 0.000
0.500 0.000 0.000
0.000 0.000 0.500
0.500 0.500 0.500
0.000 0.000 0.000
```

Output
As for the space group: No. 123. As for the total energy: -0.48411 Ry/atom. Its formation energy from raw total energies is -1.37 eV per atom. As for the density of states at the Fermi level: 2.4 states/eV/cell. The total moment comes out at 0.0 μB per formula unit.

7.
The following is a DFT calculation (PBE) of a relaxed LiNd2SnSe4 crystal.

The structure in POSCAR format:
```
LiNd2SnSe4
1.0
7.222 0.000 0.000
0.000 4.203 0.000
-2.405 0.000 6.991
Li Nd Sn Se
1 2 1 4
direct
0.000 0.000 0.000
0.000 0.500 0.500
0.500 0.000 0.500
0.500 0.500 0.000
0.244 0.000 0.755
0.245 0.500 0.245
0.755 0.500 0.755
0.756 0.000 0.245
```

Output
As for the space group: No. 10. As for the total energy: -0.36909 Ry/atom. Its formation energy from raw total energies is -1.35 eV per atom. As for the density of states at the Fermi level: 3.1 states/eV/cell. The total moment comes out at 0.0 μB per formula unit.

8.
The following is a DFT calculation (PBE) of a relaxed RbCdPb2Se4 crystal.

The structure in POSCAR format:
```
RbCdPb2Se4
1.0
2.191 -7.475 0.000
2.191 7.475 0.000
0.000 0.000 15.584
Rb Cd Pb Se
2 2 4 8
direct
0.116 0.884 0.750
0.884 0.116 0.250
0.160 0.840 0.250
0.840 0.160 0.750
0.372 0.628 0.555
0.372 0.628 0.945
0.628 0.372 0.055
0.628 0.372 0.445
0.000 0.000 0.000
0.000 0.000 0.500
0.258 0.742 0.108
0.258 0.742 0.392
0.440 0.560 0.750
0.560 0.440 0.250
0.742 0.258 0.608
0.742 0.258 0.892
```

Output
As for the space group: No. 63. As for the total energy: -0.25750 Ry/atom. Its formation energy from raw total energies is -0.60 eV per atom. As for the density of states at the Fermi level: 10.5 states/eV/cell. The total moment comes out at 0.0 μB per formula unit.